Entry 1:
Pr2GeRh3: optimized geometry, PBEsol.

Geometry as CIF:
```
data_Pr2GeRh3
_chemical_formula_sum 'Pr6 Ge3 Rh9'
_cell_length_a 5.6110
_cell_length_b 5.6110
_cell_length_c 11.9830
_cell_angle_alpha 90.00
_cell_angle_beta 90.00
_cell_angle_gamma 120.00
_symmetry_space_group_name_H-M 'R -3 m'
_symmetry_Int_Tables_number 166
_symmetry_space_group_name_Hall '-R 3 2"'
loop_
_atom_site_label
_atom_site_fract_x
_atom_site_fract_y
_atom_site_fract_z
Pr1 0.0000 0.0000 0.1275
Ge1 0.0000 0.0000 0.5000
Rh1 0.0000 0.5000 0.0000
```

## Properties
- calculated volume (Å³/atom) = 18.15
- formation energy (eV/atom) = -0.78
- magnetization (μB/cell) = 0.0
- energy (eV per atom) = -7.398


Entry 2:
Y3FeGe: optimized geometry, PBEsol.

Geometry as CIF:
```
data_Y3FeGe
_chemical_formula_sum 'Y3 Fe1 Ge1'
_cell_length_a 4.946
_cell_length_b 4.946
_cell_length_c 4.946
_cell_angle_alpha 90.00
_cell_angle_beta 90.00
_cell_angle_gamma 90.00
_symmetry_space_group_name_H-M 'P m -3 m'
_symmetry_Int_Tables_number 221
_symmetry_space_group_name_Hall '-P 4 2 3'
loop_
_atom_site_label
_atom_site_fract_x
_atom_site_fract_y
_atom_site_fract_z
Y1 0.000 0.000 0.500
Fe1 0.000 0.000 0.000
Ge1 0.500 0.500 0.500
```

## Properties
- calculated volume (Å³/atom) = 24.20
- formation energy (eV/atom) = -0.04
- magnetization (μB/cell) = 0.0
- energy (eV per atom) = -6.915


Entry 3:
SrBe2Mo: optimized geometry, PBEsol.

Geometry as CIF:
```
data_SrBe2Mo
_chemical_formula_sum 'Sr2 Be4 Mo2'
_cell_length_a 8.466
_cell_length_b 2.774
_cell_length_c 6.062
_cell_angle_alpha 90.00
_cell_angle_beta 100.56
_cell_angle_gamma 90.00
_symmetry_space_group_name_H-M 'C 1 2/m 1'
_symmetry_Int_Tables_number 12
_symmetry_space_group_name_Hall '-C 2y'
loop_
_atom_site_label
_atom_site_fract_x
_atom_site_fract_y
_atom_site_fract_z
Sr1 0.000 0.000 0.000
Be1 0.241 0.000 0.633
Mo1 0.000 0.500 0.500
```

## Properties
- calculated volume (Å³/atom) = 17.50
- formation energy (eV/atom) = 0.66
- magnetization (μB/cell) = 0.0
- energy (eV per atom) = -4.741
- E above lowest polymorph (meV/atom) = 0


Entry 4:
ZrBeCd: optimized geometry, PBEsol.

Geometry as CIF:
```
data_ZrBeCd
_chemical_formula_sum 'Zr4 Be4 Cd4'
_cell_length_a 6.310
_cell_length_b 6.310
_cell_length_c 6.310
_cell_angle_alpha 90.00
_cell_angle_beta 90.00
_cell_angle_gamma 90.00
_symmetry_space_group_name_H-M 'F -4 3 m'
_symmetry_Int_Tables_number 216
_symmetry_space_group_name_Hall 'F -4 2 3'
loop_
_atom_site_label
_atom_site_fract_x
_atom_site_fract_y
_atom_site_fract_z
Zr1 0.000 0.000 0.000
Be1 0.250 0.250 0.250
Cd1 0.250 0.250 0.750
```

## Properties
- calculated volume (Å³/atom) = 20.93
- formation energy (eV/atom) = 0.79
- magnetization (μB/cell) = 0.0
- energy (eV per atom) = -3.976
- E above lowest polymorph (meV/atom) = 967


Entry 5:
Gd3AsO7: optimized geometry, PBEsol.

Geometry as CIF:
```
data_Gd3AsO7
_chemical_formula_sum 'Gd12 As4 O28'
_cell_length_a 7.332
_cell_length_b 10.400
_cell_length_c 7.363
_cell_angle_alpha 90.00
_cell_angle_beta 90.00
_cell_angle_gamma 90.00
_symmetry_space_group_name_H-M 'C 2 2 21'
_symmetry_Int_Tables_number 20
_symmetry_space_group_name_Hall 'C 2c 2'
loop_
_atom_site_label
_atom_site_fract_x
_atom_site_fract_y
_atom_site_fract_z
Gd1 0.005 0.000 0.000
Gd2 0.233 0.269 0.751
As1 0.000 0.500 0.000
O1 0.000 0.129 0.250
O2 0.000 0.135 0.750
O3 0.000 0.442 0.750
O4 0.182 0.379 0.030
O5 0.185 0.380 0.472
```

## Properties
- calculated volume (Å³/atom) = 12.76
- magnetization (μB/cell) = 84.0
- energy (eV per atom) = -10.625
- formation energy (no corrections) (meV/atom) = -2880
- E above lowest polymorph (meV/atom) = 5


Entry 6:
RbAl2Sn2: optimized geometry, PBEsol.

Geometry as CIF:
```
data_RbAl2Sn2
_chemical_formula_sum 'Rb2 Al4 Sn4'
_cell_length_a 4.904
_cell_length_b 4.904
_cell_length_c 11.398
_cell_angle_alpha 90.00
_cell_angle_beta 90.00
_cell_angle_gamma 90.00
_symmetry_space_group_name_H-M 'I 4/m m m'
_symmetry_Int_Tables_number 139
_symmetry_space_group_name_Hall '-I 4 2'
loop_
_atom_site_label
_atom_site_fract_x
_atom_site_fract_y
_atom_site_fract_z
Rb1 0.000 0.000 0.000
Al1 0.000 0.500 0.250
Sn1 0.000 0.000 0.371
```

## Properties
- calculated volume (Å³/atom) = 27.41
- formation energy (eV/atom) = -0.05
- magnetization (μB/cell) = 0.0
- energy (eV per atom) = -3.600


Entry 7:
NaSiSe2N: optimized geometry, PBEsol.

Geometry as CIF:
```
data_NaSiSe2N
_chemical_formula_sum 'Na1 Si1 Se2 N1'
_cell_length_a 5.083
_cell_length_b 5.083
_cell_length_c 4.186
_cell_angle_alpha 90.00
_cell_angle_beta 90.00
_cell_angle_gamma 90.00
_symmetry_space_group_name_H-M 'P 4/m m m'
_symmetry_Int_Tables_number 123
_symmetry_space_group_name_Hall '-P 4 2'
loop_
_atom_site_label
_atom_site_fract_x
_atom_site_fract_y
_atom_site_fract_z
Na1 0.000 0.000 0.000
Si1 0.500 0.500 0.500
Se1 0.000 0.500 0.000
N1 0.000 0.000 0.500
```

## Properties
- calculated volume (Å³/atom) = 21.63
- magnetization (μB/cell) = 3.0
- energy (eV per atom) = -3.255
- formation energy (no corrections) (meV/atom) = 1419


Entry 8:
HgPdAu2S: optimized geometry, PBEsol.

Geometry as CIF:
```
data_HgPdAu2S
_chemical_formula_sum 'Hg1 Pd1 Au2 S1'
_cell_length_a 4.935
_cell_length_b 4.935
_cell_length_c 4.960
_cell_angle_alpha 90.00
_cell_angle_beta 90.00
_cell_angle_gamma 90.00
_symmetry_space_group_name_H-M 'P 4/m m m'
_symmetry_Int_Tables_number 123
_symmetry_space_group_name_Hall '-P 4 2'
loop_
_atom_site_label
_atom_site_fract_x
_atom_site_fract_y
_atom_site_fract_z
Hg1 0.000 0.000 0.000
Pd1 0.000 0.000 0.500
Au1 0.000 0.500 0.500
S1 0.500 0.500 0.000
```

## Properties
- calculated volume (Å³/atom) = 24.16
- magnetization (μB/cell) = 0.0
- energy (eV per atom) = -2.763
- formation energy (no corrections) (meV/atom) = 989


Entry 9:
ScMoSe2: optimized geometry, PBEsol.

Geometry as CIF:
```
data_ScMoSe2
_chemical_formula_sum 'Sc2 Mo2 Se4'
_cell_length_a 9.230
_cell_length_b 3.265
_cell_length_c 4.612
_cell_angle_alpha 90.00
_cell_angle_beta 101.11
_cell_angle_gamma 90.00
_symmetry_space_group_name_H-M 'C 1 m 1'
_symmetry_Int_Tables_number 8
_symmetry_space_group_name_Hall 'C -2y'
loop_
_atom_site_label
_atom_site_fract_x
_atom_site_fract_y
_atom_site_fract_z
Sc1 0.000 0.000 0.000
Mo1 0.277 0.500 0.402
Se1 0.268 0.000 0.883
Se2 0.499 0.000 0.493
```

## Properties
- calculated volume (Å³/atom) = 17.04
- magnetization (μB/cell) = 0.0
- energy (eV per atom) = -7.237
- formation energy (no corrections) (meV/atom) = -719
- E above lowest polymorph (meV/atom) = 0


Entry 10:
Li3Cu: optimized geometry, PBEsol.

Geometry as CIF:
```
data_Li3Cu
_chemical_formula_sum 'Li6 Cu2'
_cell_length_a 3.897
_cell_length_b 4.014
_cell_length_c 7.429
_cell_angle_alpha 90.00
_cell_angle_beta 90.00
_cell_angle_gamma 90.00
_symmetry_space_group_name_H-M 'I m m m'
_symmetry_Int_Tables_number 71
_symmetry_space_group_name_Hall '-I 2 2'
loop_
_atom_site_label
_atom_site_fract_x
_atom_site_fract_y
_atom_site_fract_z
Li1 0.000 0.000 0.000
Li2 0.000 0.500 0.249
Cu1 0.000 0.000 0.500
```

## Properties
- calculated volume (Å³/atom) = 14.53
- formation energy (eV/atom) = 0.05
- magnetization (μB/cell) = 0.0
- energy (eV per atom) = -2.505


Entry 11:
Zn2In2Hg: optimized geometry, PBEsol.

Geometry as CIF:
```
data_Zn2In2Hg
_chemical_formula_sum 'Zn4 In4 Hg2'
_cell_length_a 6.952
_cell_length_b 6.952
_cell_length_c 4.265
_cell_angle_alpha 90.00
_cell_angle_beta 90.00
_cell_angle_gamma 90.00
_symmetry_space_group_name_H-M 'P 4/m b m'
_symmetry_Int_Tables_number 127
_symmetry_space_group_name_Hall '-P 4 2ab'
loop_
_atom_site_label
_atom_site_fract_x
_atom_site_fract_y
_atom_site_fract_z
Zn1 0.129 0.371 0.000
In1 0.171 0.671 0.500
Hg1 0.000 0.000 0.000
```

## Properties
- calculated volume (Å³/atom) = 20.61
- formation energy (eV/atom) = 0.05
- magnetization (μB/cell) = 0.0
- energy (eV per atom) = -1.888


Entry 12:
Na2TiSi4O11: optimized geometry, PBEsol.

Geometry as CIF:
```
data_Na2TiSi4O11
_chemical_formula_sum 'Na8 Ti4 Si16 O44'
_cell_length_a 10.785
_cell_length_b 10.785
_cell_length_c 7.824
_cell_angle_alpha 90.00
_cell_angle_beta 90.00
_cell_angle_gamma 90.00
_symmetry_space_group_name_H-M 'I 4/m'
_symmetry_Int_Tables_number 87
_symmetry_space_group_name_Hall '-I 4'
loop_
_atom_site_label
_atom_site_fract_x
_atom_site_fract_y
_atom_site_fract_z
Na1 0.130 0.183 0.000
Ti1 0.000 0.000 0.256
Si1 0.011 0.692 0.308
O1 0.000 0.000 0.000
O2 0.000 0.000 0.500
O3 0.046 0.304 0.500
O4 0.050 0.823 0.231
O5 0.098 0.368 0.187
```

## Properties
- calculated volume (Å³/atom) = 12.64
- magnetization (μB/cell) = 0.3
- energy (eV per atom) = -7.816
- formation energy (no corrections) (meV/atom) = -2713


Entry 13:
BaCo3W: optimized geometry, PBEsol.

Geometry as CIF:
```
data_BaCo3W
_chemical_formula_sum 'Ba1 Co3 W1'
_cell_length_a 4.556
_cell_length_b 4.556
_cell_length_c 4.556
_cell_angle_alpha 90.00
_cell_angle_beta 90.00
_cell_angle_gamma 90.00
_symmetry_space_group_name_H-M 'P m -3 m'
_symmetry_Int_Tables_number 221
_symmetry_space_group_name_Hall '-P 4 2 3'
loop_
_atom_site_label
_atom_site_fract_x
_atom_site_fract_y
_atom_site_fract_z
Ba1 0.000 0.000 0.000
Co1 0.000 0.000 0.500
W1 0.500 0.500 0.500
```

## Properties
- calculated volume (Å³/atom) = 18.91
- formation energy (eV/atom) = 2.89
- magnetization (μB/cell) = 4.3
- energy (eV per atom) = -4.947


Entry 14:
Ba2Si3Ni: optimized geometry, PBEsol.

Geometry as CIF:
```
data_Ba2Si3Ni
_chemical_formula_sum 'Ba6 Si9 Ni3'
_cell_length_a 11.2880
_cell_length_b 11.2880
_cell_length_c 3.8609
_cell_angle_alpha 90.00
_cell_angle_beta 90.00
_cell_angle_gamma 120.00
_symmetry_space_group_name_H-M 'P -6 2 m'
_symmetry_Int_Tables_number 189
_symmetry_space_group_name_Hall 'P -6 -2'
loop_
_atom_site_label
_atom_site_fract_x
_atom_site_fract_y
_atom_site_fract_z
Ba1 0.0000 0.3828 0.0000
Ba2 0.0000 0.7126 0.0000
Si1 0.0000 0.1245 0.5000
Si2 0.2194 0.6839 0.5000
Ni1 0.0000 0.0000 0.0000
Ni2 0.3333 0.6667 0.0000
```

## Properties
- calculated volume (Å³/atom) = 23.67
- magnetization (μB/cell) = 0.0
- energy (eV per atom) = -5.135
- formation energy (no corrections) (meV/atom) = -519


Entry 15:
TlAuSe: optimized geometry, PBEsol.

Geometry as CIF:
```
data_TlAuSe
_chemical_formula_sum 'Tl2 Au2 Se2'
_cell_length_a 6.084
_cell_length_b 4.477
_cell_length_c 5.770
_cell_angle_alpha 90.00
_cell_angle_beta 90.00
_cell_angle_gamma 90.00
_symmetry_space_group_name_H-M 'P m m a'
_symmetry_Int_Tables_number 51
_symmetry_space_group_name_Hall '-P 2a 2a'
loop_
_atom_site_label
_atom_site_fract_x
_atom_site_fract_y
_atom_site_fract_z
Tl1 0.250 0.000 0.220
Au1 0.000 0.500 0.500
Se1 0.250 0.500 0.832
```

## Properties
- calculated volume (Å³/atom) = 26.20
- magnetization (μB/cell) = 0.0
- energy (eV per atom) = -3.669
- formation energy (no corrections) (meV/atom) = -201


Entry 16:
KBaOs2: optimized geometry, PBEsol.

Geometry as CIF:
```
data_KBaOs2
_chemical_formula_sum 'K1 Ba1 Os2'
_cell_length_a 3.728
_cell_length_b 4.072
_cell_length_c 5.436
_cell_angle_alpha 90.00
_cell_angle_beta 90.00
_cell_angle_gamma 90.00
_symmetry_space_group_name_H-M 'P m m m'
_symmetry_Int_Tables_number 47
_symmetry_space_group_name_Hall '-P 2 2'
loop_
_atom_site_label
_atom_site_fract_x
_atom_site_fract_y
_atom_site_fract_z
K1 0.000 0.000 0.000
Ba1 0.500 0.500 0.000
Os1 0.000 0.500 0.500
Os2 0.500 0.000 0.500
```

## Properties
- calculated volume (Å³/atom) = 20.63
- formation energy (eV/atom) = 1.49
- magnetization (μB/cell) = 0.0
- energy (eV per atom) = -5.442
- E above lowest polymorph (meV/atom) = 150


Entry 17:
ReHgTe2: optimized geometry, PBEsol.

Geometry as CIF:
```
data_ReHgTe2
_chemical_formula_sum 'Re1 Hg1 Te2'
_cell_length_a 5.026
_cell_length_b 5.026
_cell_length_c 3.353
_cell_angle_alpha 90.00
_cell_angle_beta 90.00
_cell_angle_gamma 90.00
_symmetry_space_group_name_H-M 'P 4/m m m'
_symmetry_Int_Tables_number 123
_symmetry_space_group_name_Hall '-P 4 2'
loop_
_atom_site_label
_atom_site_fract_x
_atom_site_fract_y
_atom_site_fract_z
Re1 0.000 0.000 0.000
Hg1 0.500 0.500 0.000
Te1 0.000 0.500 0.500
```

## Properties
- calculated volume (Å³/atom) = 21.18
- magnetization (μB/cell) = 0.5
- energy (eV per atom) = -4.281
- formation energy (no corrections) (meV/atom) = 957
- E above lowest polymorph (meV/atom) = 261


Entry 18:
RbNiF3: optimized geometry, PBEsol.

Geometry as CIF:
```
data_RbNiF3
_chemical_formula_sum 'Rb2 Ni2 F6'
_cell_length_a 5.8446
_cell_length_b 5.8446
_cell_length_c 5.1358
_cell_angle_alpha 90.00
_cell_angle_beta 90.00
_cell_angle_gamma 120.00
_symmetry_space_group_name_H-M 'P 63/m m c'
_symmetry_Int_Tables_number 194
_symmetry_space_group_name_Hall '-P 6c 2c'
loop_
_atom_site_label
_atom_site_fract_x
_atom_site_fract_y
_atom_site_fract_z
Rb1 0.3333 0.6667 0.2500
Ni1 0.0000 0.0000 0.0000
F1 0.1515 0.3030 0.7500
```

## Properties
- calculated volume (Å³/atom) = 15.19
- magnetization (μB/cell) = 4.0
- energy (eV per atom) = -4.706
- formation energy (no corrections) (meV/atom) = -2113


Entry 19:
BaHg2Os: optimized geometry, PBEsol.

Geometry as CIF:
```
data_BaHg2Os
_chemical_formula_sum 'Ba2 Hg4 Os2'
_cell_length_a 6.057
_cell_length_b 10.168
_cell_length_c 3.244
_cell_angle_alpha 90.00
_cell_angle_beta 112.35
_cell_angle_gamma 90.00
_symmetry_space_group_name_H-M 'C 1 2/m 1'
_symmetry_Int_Tables_number 12
_symmetry_space_group_name_Hall '-C 2y'
loop_
_atom_site_label
_atom_site_fract_x
_atom_site_fract_y
_atom_site_fract_z
Ba1 0.000 0.000 0.000
Hg1 0.250 0.250 0.500
Os1 0.000 0.500 0.000
```

## Properties
- calculated volume (Å³/atom) = 23.10
- formation energy (eV/atom) = 0.78
- magnetization (μB/cell) = 1.2
- energy (eV per atom) = -3.096
- E above lowest polymorph (meV/atom) = 137


Entry 20:
ScBeRe2: optimized geometry, PBEsol.

Geometry as CIF:
```
data_ScBeRe2
_chemical_formula_sum 'Sc2 Be2 Re4'
_cell_length_a 3.132
_cell_length_b 4.383
_cell_length_c 8.475
_cell_angle_alpha 90.00
_cell_angle_beta 90.00
_cell_angle_gamma 90.00
_symmetry_space_group_name_H-M 'I m m 2'
_symmetry_Int_Tables_number 44
_symmetry_space_group_name_Hall 'I 2 -2'
loop_
_atom_site_label
_atom_site_fract_x
_atom_site_fract_y
_atom_site_fract_z
Sc1 0.000 0.000 0.000
Be1 0.000 0.500 0.772
Re1 0.000 0.000 0.502
Re2 0.000 0.500 0.235
```

## Properties
- calculated volume (Å³/atom) = 14.54
- formation energy (eV/atom) = 0.14
- magnetization (μB/cell) = 0.0
- energy (eV per atom) = -9.175